[1]
LaHfS2 | PBE | optimized geometry

Total moment in μB per formula unit: 0.00
Relative energy among the computed polymorphs in kJ/mol of atoms: 7.6
Calculated volume in Å³/atom: 27.94

a b c (Å): 7.4357 7.4357 7.4357
angles (deg): 131.85 131.85 70.47
Fractional positions:
La (0.0000, 0.0000, 0.0000)
La (0.7500, 0.2500, 0.5000)
Hf (0.2500, 0.7500, 0.5000)
Hf (0.5000, 0.5000, 0.0000)
S (0.1760, 0.6250, 0.0510)
S (0.3750, 0.4260, 0.5510)
S (0.5740, 0.1250, 0.9490)
S (0.8750, 0.8240, 0.4490)

=====

[2]
LaHf3S | PBE | optimized geometry

Total moment in μB per formula unit: 0.00
Relative energy among the computed polymorphs in kJ/mol of atoms: 198.2
Calculated volume in Å³/atom: 27.90

a b c (Å): 5.1860 5.1860 5.1860
angles (deg): 90.00 90.00 90.00
Fractional positions:
La (0.0000, 0.0000, 0.0000)
Hf (0.0000, 0.0000, 0.5000)
Hf (0.0000, 0.5000, 0.0000)
Hf (0.5000, 0.0000, 0.0000)
S (0.5000, 0.5000, 0.5000)

=====

[3]
La2HfS5 | PBE | optimized geometry

Total moment in μB per formula unit: 0.00
Relative energy among the computed polymorphs in kJ/mol of atoms: 11.7
Calculated volume in Å³/atom: 30.24

a b c (Å): 7.4974 7.4974 13.0776
angles (deg): 90.00 90.00 138.83
Fractional positions:
La (0.1432, 0.8568, 0.5674)
La (0.1432, 0.8568, 0.9326)
La (0.8568, 0.1432, 0.0674)
La (0.8568, 0.1432, 0.4326)
Hf (0.1810, 0.8190, 0.2500)
Hf (0.8190, 0.1810, 0.7500)
S (0.0500, 0.9500, 0.1234)
S (0.0500, 0.9500, 0.3766)
S (0.2773, 0.7227, 0.7500)
S (0.2934, 0.7066, 0.0924)
S (0.2934, 0.7066, 0.4076)
S (0.7066, 0.2934, 0.5924)
S (0.7066, 0.2934, 0.9076)
S (0.7227, 0.2773, 0.2500)
S (0.9500, 0.0500, 0.6234)
S (0.9500, 0.0500, 0.8766)

=====

[4]
La3HfS | PBE | optimized geometry

Total moment in μB per formula unit: 0.00
Relative energy among the computed polymorphs in kJ/mol of atoms: 0.0
Calculated volume in Å³/atom: 33.16

a b c (Å): 5.4938 5.4938 5.4938
angles (deg): 90.00 90.00 90.00
Fractional positions:
La (0.0000, 0.0000, 0.5000)
La (0.0000, 0.5000, 0.0000)
La (0.5000, 0.0000, 0.0000)
Hf (0.5000, 0.5000, 0.5000)
S (0.0000, 0.0000, 0.0000)

=====

[5]
LaHfSn2S | PBE | optimized geometry

Total moment in μB per formula unit: 0.00
Calculated volume in Å³/atom: 36.17

a b c (Å): 5.9063 5.9063 5.1838
angles (deg): 90.00 90.00 90.00
Fractional positions:
La (0.0000, 0.0000, 0.0000)
Hf (0.5000, 0.5000, 0.5000)
Sn (0.0000, 0.5000, 0.0000)
Sn (0.5000, 0.0000, 0.0000)
S (0.0000, 0.0000, 0.5000)

=====

[6]
LaHfTeS2 | PBE | optimized geometry

Total moment in μB per formula unit: 0.00
Calculated volume in Å³/atom: 32.83

a b c (Å): 4.7801 4.7801 7.1842
angles (deg): 90.00 90.00 90.00
Fractional positions:
La (0.0000, 0.0000, 0.0000)
Hf (0.0000, 0.0000, 0.5000)
Te (0.5000, 0.5000, 0.0000)
S (0.0000, 0.5000, 0.5000)
S (0.5000, 0.0000, 0.5000)

=====

For the records above, the corresponding energy relative to the elements, uncorrected values read -116 166 -181 -41 73 -78 kJ per mole of atoms.